## CrAs3F (PBE with a Hubbard U)

Data for a relaxed structure of CrAs3F.

Lattice parameters (Å, degrees): 4.5764 4.5764 4.5764 90.00 90.00 90.00
Last column: nearest neighbours and their distance in Å.
Sites, in units of the cell vectors:
As1 0.5000 0.0000 0.0000  2 Cr 2.29
F1 0.5000 0.5000 0.5000  12 As 3.24
As2 0.0000 0.0000 0.5000  2 Cr 2.29
Cr1 0.0000 0.0000 0.0000  6 As 2.29
As3 0.0000 0.5000 0.0000  2 Cr 2.29

Results
- Space-group type: Pm-3m (221)
- Final energy: -4.23 eV per atom
- Relative energy among the computed polymorphs: 150.2 meV per atom